No. 1
Compound: Na2CdAu2
Source: Alexandria via LeMat-Bulk
Functional: PBE
Structure: optimized geometry

Summary:
relative energy among the computed polymorphs = 0.0000 eV/atom
energy of formation = -305 meV/atom
final energy = -2.326 eV/atom
Fermi-level density of states = 1.21 states/eV/cell

Structure (extended XYZ):
```
5
Lattice="4.504 0.000 -1.704 -0.940 4.898 -2.485 -0.390 -0.316 5.773" Properties=species:S:1:pos:R:3 pbc="T T T"
Na 3.101 1.302 1.392
Na 0.072 3.281 0.191
Cd 0.000 0.000 0.000
Au 1.555 3.631 -2.694
Au 2.009 1.267 -1.495
```



No. 2
Compound: Na7Cd2Au
Source: Alexandria via LeMat-Bulk
Functional: PBE
Structure: optimized geometry

Summary:
energy of formation = -106 meV/atom
final energy = -1.540 eV/atom
Fermi-level density of states = 5.94 states/eV/cell

Structure (extended XYZ):
```
20
Lattice="-7.818 2.227 -5.081 -5.693 -6.711 -3.225 -8.339 -0.088 3.748" Properties=species:S:1:pos:R:3 pbc="T T T"
Na -16.154 -2.084 -1.664
Na -10.456 1.691 -2.782
Na -14.310 -5.560 -0.699
Na -8.599 -0.753 -0.765
Na -12.933 -0.247 -1.411
Na -13.216 -0.473 -4.810
Na -10.752 -1.597 2.177
Na -11.098 -2.976 -6.736
Na -8.634 -4.099 0.252
Na -8.917 -4.325 -3.147
Na -13.251 -3.819 -3.793
Na -7.540 0.988 -3.859
Na -11.395 -6.263 -1.776
Na -5.696 -2.488 -2.894
Cd -16.775 -5.070 -2.775
Cd -10.422 -1.481 -3.467
Cd -11.428 -3.091 -1.091
Cd -5.075 0.498 -1.783
Au -7.679 -1.744 2.004
Au -14.172 -2.828 -6.563
```



No. 3
Compound: NaCd12Au4
Source: Alexandria via LeMat-Bulk
Functional: PBE
Structure: optimized geometry

Summary:
energy of formation = -2 meV/atom
final energy = -1.496 eV/atom
Fermi-level density of states = 7.23 states/eV/cell

Structure (extended XYZ):
```
17
Lattice="8.402 0.000 0.000 -2.801 7.921 0.000 -2.801 -3.961 6.860" Properties=species:S:1:pos:R:3 pbc="T T T"
Na 0.000 0.000 0.000
Cd 5.600 1.981 1.335
Cd 1.090 3.357 1.048
Cd 4.511 -1.374 4.477
Cd 0.001 -1.814 5.812
Cd -1.711 5.335 2.383
Cd 1.711 0.604 5.812
Cd 2.802 -0.166 2.383
Cd -0.001 4.126 4.477
Cd 2.799 5.775 1.048
Cd 3.890 3.190 3.429
Cd -1.090 0.771 3.431
Cd -2.799 1.980 5.525
Au -1.400 3.961 0.000
Au 4.201 0.000 0.000
Au 1.400 1.980 3.430
Au -1.400 -1.980 3.430
```



No. 4
Compound: NaCd12Au6
Source: Alexandria via LeMat-Bulk
Functional: PBE
Structure: optimized geometry

Summary:
energy of formation = -135 meV/atom
final energy = -1.817 eV/atom
Fermi-level density of states = 5.32 states/eV/cell

Structure (extended XYZ):
```
19
Lattice="7.308 -0.202 0.386 0.355 7.302 0.386 -0.218 -0.202 7.315" Properties=species:S:1:pos:R:3 pbc="T T T"
Na 0.000 0.000 0.000
Cd 4.174 1.212 3.768
Cd 1.468 3.308 4.470
Cd 3.629 4.069 1.832
Cd 3.271 5.686 4.318
Cd 5.977 3.589 3.616
Cd 3.815 2.828 6.254
Cd 7.167 5.868 5.262
Cd 2.728 0.198 1.277
Cd 1.239 2.705 0.510
Cd 0.278 1.029 2.824
Cd 4.717 6.699 6.810
Cd 6.206 4.192 7.577
Au 1.876 0.653 5.473
Au 6.390 1.662 5.765
Au 2.055 5.076 6.843
Au 5.569 6.244 2.613
Au 1.055 5.235 2.321
Au 5.389 1.821 1.243
```